Entry P
SrHf2Cr: relaxed, PBE.

Unit cell a=10.343 b=10.343 c=10.343 alpha=90.00 beta=90.00 gamma=90.00
Space group Fd-3m (No. 227, origin choice 2)
Symmetry-distinct sites (fractional):
1 Sr 0.125 0.125 0.125 (multiplicity 8)
2 Hf 0.000 0.000 0.500 (multiplicity 16)
3 Cr 0.125 0.125 0.625 (multiplicity 8)

Properties
Spin magnetization, μB per atom: 0.000


Entry Q
SrHf2Cr: relaxed, PBE.

Unit cell a=7.021 b=7.021 c=7.021 alpha=90.00 beta=90.00 gamma=90.00
Space group Fm-3m (No. 225)
Symmetry-distinct sites (fractional):
1 Sr 0.000 0.000 0.000 (multiplicity 4)
2 Hf 0.250 0.250 0.250 (multiplicity 8)
3 Cr 0.000 0.000 0.500 (multiplicity 4)

Properties
Spin magnetization, μB per atom: 0.000


Least stable = entry P


Entry P
Hf3TaCr: relaxed, PBE.

Unit cell a=5.081 b=5.081 c=5.081 alpha=90.00 beta=90.00 gamma=90.00
Space group Pm-3m (No. 221)
Symmetry-distinct sites (fractional):
1 Hf 0.000 0.000 0.500 (multiplicity 3)
2 Ta 0.000 0.000 0.000 (multiplicity 1)
3 Cr 0.500 0.500 0.500 (multiplicity 1)

Properties
Spin magnetization, μB per atom: 0.777


Entry Q
Hf3TaCr: relaxed, PBE.

Unit cell a=4.753 b=4.753 c=4.753 alpha=90.00 beta=90.00 gamma=90.00
Space group Pm-3m (No. 221)
Symmetry-distinct sites (fractional):
1 Hf 0.000 0.000 0.500 (multiplicity 3)
2 Ta 0.500 0.500 0.500 (multiplicity 1)
3 Cr 0.000 0.000 0.000 (multiplicity 1)

Properties
Spin magnetization, μB per atom: 0.000


Least stable = entry P


Entry P
Hf2TaCr: relaxed, PBE.

Unit cell a=6.648 b=6.648 c=6.648 alpha=90.00 beta=90.00 gamma=90.00
Space group Fm-3m (No. 225)
Symmetry-distinct sites (fractional):
1 Hf 0.250 0.250 0.250 (multiplicity 8)
2 Ta 0.000 0.000 0.000 (multiplicity 4)
3 Cr 0.000 0.000 0.500 (multiplicity 4)

Properties
Spin magnetization, μB per atom: 0.001


Entry Q
Hf2TaCr: relaxed, PBE.

Unit cell a=7.434 b=7.434 c=5.637 alpha=90.00 beta=90.00 gamma=90.00
Space group I-42d (No. 122)
Symmetry-distinct sites (fractional):
1 Hf 0.221 0.250 0.125 (multiplicity 8)
2 Ta 0.000 0.000 0.500 (multiplicity 4)
3 Cr 0.000 0.000 0.000 (multiplicity 4)

Properties
Spin magnetization, μB per atom: 0.433


Least stable = entry Q


Entry P
HfTaCr2: relaxed, PBE.

Unit cell a=6.316 b=6.316 c=6.316 alpha=90.00 beta=90.00 gamma=90.00
Space group Fm-3m (No. 225)
Symmetry-distinct sites (fractional):
1 Hf 0.000 0.000 0.000 (multiplicity 4)
2 Ta 0.000 0.000 0.500 (multiplicity 4)
3 Cr 0.250 0.250 0.250 (multiplicity 8)

Properties
Spin magnetization, μB per atom: 0.642


Entry Q
HfTaCr2: relaxed, PBE.

Unit cell a=6.957 b=6.957 c=5.536 alpha=90.00 beta=90.00 gamma=90.00
Space group I-42d (No. 122)
Symmetry-distinct sites (fractional):
1 Hf 0.000 0.000 0.000 (multiplicity 4)
2 Ta 0.000 0.000 0.500 (multiplicity 4)
3 Cr 0.235 0.750 0.625 (multiplicity 8)

Properties
Spin magnetization, μB per atom: 0.003


Least stable = entry Q


Entry P
HfTaCr: relaxed, PBE.

Unit cell a=5.065 b=9.092 c=18.340 alpha=90.00 beta=90.00 gamma=90.00
Space group Fddd (No. 70, origin choice 2)
Symmetry-distinct sites (fractional):
1 Hf 0.125 0.291 0.125 (multiplicity 16)
2 Ta 0.125 0.125 0.542 (multiplicity 16)
3 Cr 0.125 0.125 0.000 (multiplicity 16)

Properties
Spin magnetization, μB per atom: 0.000


Entry Q
HfTaCr: relaxed, PBE.

Unit cell a=3.199 b=3.199 c=10.090 alpha=90.00 beta=90.00 gamma=90.00
Space group I4mm (No. 107)
Symmetry-distinct sites (fractional):
1 Hf 0.000 0.000 0.000 (multiplicity 2)
2 Ta 0.000 0.000 0.303 (multiplicity 2)
3 Cr 0.000 0.000 0.671 (multiplicity 2)

Properties
Spin magnetization, μB per atom: 0.160


Least stable = entry P


Entry P
HfTa3Cr: relaxed, PBE.

Unit cell a=4.850 b=4.850 c=4.850 alpha=90.00 beta=90.00 gamma=90.00
Space group Pm-3m (No. 221)
Symmetry-distinct sites (fractional):
1 Hf 0.000 0.000 0.000 (multiplicity 1)
2 Ta 0.000 0.000 0.500 (multiplicity 3)
3 Cr 0.500 0.500 0.500 (multiplicity 1)

Properties
Spin magnetization, μB per atom: 0.024


Entry Q
HfTa3Cr: relaxed, PBE.

Unit cell a=4.646 b=4.646 c=4.646 alpha=90.00 beta=90.00 gamma=90.00
Space group Pm-3m (No. 221)
Symmetry-distinct sites (fractional):
1 Hf 0.000 0.000 0.000 (multiplicity 1)
2 Ta 0.000 0.500 0.500 (multiplicity 3)
3 Cr 0.500 0.500 0.500 (multiplicity 1)

Properties
Spin magnetization, μB per atom: 0.000


Least stable = entry P


Entry P
Hf3CrTc: relaxed, PBE.

Unit cell a=4.977 b=4.977 c=4.977 alpha=90.00 beta=90.00 gamma=90.00
Space group Pm-3m (No. 221)
Symmetry-distinct sites (fractional):
1 Hf 0.000 0.000 0.500 (multiplicity 3)
2 Cr 0.500 0.500 0.500 (multiplicity 1)
3 Tc 0.000 0.000 0.000 (multiplicity 1)

Properties
Spin magnetization, μB per atom: 0.788


Entry Q
Hf3CrTc: relaxed, PBE.

Unit cell a=4.695 b=4.695 c=4.695 alpha=90.00 beta=90.00 gamma=90.00
Space group Pm-3m (No. 221)
Symmetry-distinct sites (fractional):
1 Hf 0.000 0.000 0.500 (multiplicity 3)
2 Cr 0.000 0.000 0.000 (multiplicity 1)
3 Tc 0.500 0.500 0.500 (multiplicity 1)

Properties
Spin magnetization, μB per atom: 0.076


Least stable = entry Q


Entry P
HfCr2Tc: relaxed, PBE.

Unit cell a=6.139 b=6.139 c=6.139 alpha=90.00 beta=90.00 gamma=90.00
Space group Fm-3m (No. 225)
Symmetry-distinct sites (fractional):
1 Hf 0.000 0.000 0.000 (multiplicity 4)
2 Cr 0.250 0.250 0.250 (multiplicity 8)
3 Tc 0.000 0.000 0.500 (multiplicity 4)

Properties
Spin magnetization, μB per atom: 0.000


Entry Q
HfCr2Tc: relaxed, PBE.

Unit cell a=6.935 b=6.935 c=5.300 alpha=90.00 beta=90.00 gamma=90.00
Space group I-42d (No. 122)
Symmetry-distinct sites (fractional):
1 Hf 0.000 0.000 0.000 (multiplicity 4)
2 Cr 0.214 0.750 0.625 (multiplicity 8)
3 Tc 0.000 0.000 0.500 (multiplicity 4)

Properties
Spin magnetization, μB per atom: 0.000


Least stable = entry Q


Entry P
HfCrTc3: relaxed, PBE.

Unit cell a=4.430 b=4.430 c=4.430 alpha=90.00 beta=90.00 gamma=90.00
Space group Pm-3m (No. 221)
Symmetry-distinct sites (fractional):
1 Hf 0.000 0.000 0.000 (multiplicity 1)
2 Cr 0.500 0.500 0.500 (multiplicity 1)
3 Tc 0.000 0.500 0.500 (multiplicity 3)

Properties
Spin magnetization, μB per atom: 0.000


Entry Q
HfCrTc3: relaxed, PBE.

Unit cell a=4.653 b=4.653 c=4.653 alpha=90.00 beta=90.00 gamma=90.00
Space group Pm-3m (No. 221)
Symmetry-distinct sites (fractional):
1 Hf 0.000 0.000 0.000 (multiplicity 1)
2 Cr 0.500 0.500 0.500 (multiplicity 1)
3 Tc 0.000 0.000 0.500 (multiplicity 3)

Properties
Spin magnetization, μB per atom: 0.005


Least stable = entry Q


Entry P
Hf2CrTe: relaxed, PBE.

Unit cell a=6.797 b=6.797 c=6.797 alpha=90.00 beta=90.00 gamma=90.00
Space group Fm-3m (No. 225)
Symmetry-distinct sites (fractional):
1 Hf 0.250 0.250 0.250 (multiplicity 8)
2 Cr 0.000 0.000 0.000 (multiplicity 4)
3 Te 0.000 0.000 0.500 (multiplicity 4)

Properties
Spin magnetization, μB per atom: 0.162


Entry Q
Hf2CrTe: relaxed, PBE.

Unit cell a=4.138 b=4.138 c=20.669 alpha=90.00 beta=90.00 gamma=90.00
Space group I-42d (No. 122)
Symmetry-distinct sites (fractional):
1 Hf 0.248 0.250 0.125 (multiplicity 8)
2 Cr 0.000 0.000 0.000 (multiplicity 4)
3 Te 0.000 0.000 0.500 (multiplicity 4)

Properties
Spin magnetization, μB per atom: 0.688


Least stable = entry Q


Entry P
HfCr3Te: relaxed, PBE.

Unit cell a=4.614 b=4.614 c=4.614 alpha=90.00 beta=90.00 gamma=90.00
Space group Pm-3m (No. 221)
Symmetry-distinct sites (fractional):
1 Hf 0.000 0.000 0.000 (multiplicity 1)
2 Cr 0.000 0.500 0.500 (multiplicity 3)
3 Te 0.500 0.500 0.500 (multiplicity 1)

Properties
Spin magnetization, μB per atom: 0.000


Entry Q
HfCr3Te: relaxed, PBE.

Unit cell a=4.864 b=4.864 c=4.864 alpha=90.00 beta=90.00 gamma=90.00
Space group Pm-3m (No. 221)
Symmetry-distinct sites (fractional):
1 Hf 0.000 0.000 0.000 (multiplicity 1)
2 Cr 0.000 0.000 0.500 (multiplicity 3)
3 Te 0.500 0.500 0.500 (multiplicity 1)

Properties
Spin magnetization, μB per atom: 1.967


Least stable = entry Q


Entry P
HfCr2Te2: relaxed, PBE.

Unit cell a=7.633 b=7.633 c=3.563 alpha=90.00 beta=90.00 gamma=90.00
Space group P4/mbm (No. 127)
Symmetry-distinct sites (fractional):
1 Hf 0.000 0.000 0.000 (multiplicity 2)
2 Cr 0.143 0.357 0.500 (multiplicity 4)
3 Te 0.157 0.657 0.000 (multiplicity 4)

Properties
Spin magnetization, μB per atom: 1.384


Entry Q
HfCr2Te2: relaxed, PBE.

Unit cell a=3.606 b=3.606 c=14.951 alpha=90.00 beta=90.00 gamma=90.00
Space group I4/mmm (No. 139)
Symmetry-distinct sites (fractional):
1 Hf 0.000 0.000 0.000 (multiplicity 2)
2 Cr 0.000 0.500 0.250 (multiplicity 4)
3 Te 0.000 0.000 0.387 (multiplicity 4)

Properties
Spin magnetization, μB per atom: 0.715


Least stable = entry Q


Entry P
HfCrTe2: relaxed, PBE.

Unit cell a=3.3435 b=3.3435 c=27.9902 alpha=90.00 beta=90.00 gamma=120.00
Space group R-3m (No. 166, hexagonal axes)
Symmetry-distinct sites (fractional):
1 Hf 0.0000 0.0000 0.0000 (multiplicity 3)
2 Cr 0.0000 0.0000 0.5000 (multiplicity 3)
3 Te 0.0000 0.0000 0.1034 (multiplicity 6)

Properties
Spin magnetization, μB per atom: 0.000


Entry Q
HfCrTe2: relaxed, PBE.

Unit cell a=6.444 b=6.444 c=12.443 alpha=90.00 beta=90.00 gamma=90.00
Space group I-42d (No. 122)
Symmetry-distinct sites (fractional):
1 Hf 0.000 0.000 0.000 (multiplicity 4)
2 Cr 0.000 0.000 0.500 (multiplicity 4)
3 Te 0.241 0.250 0.625 (multiplicity 8)

Properties
Spin magnetization, μB per atom: 1.040


Entry R
HfCrTe2: relaxed, PBE.

Unit cell a=7.013 b=7.013 c=7.013 alpha=90.00 beta=90.00 gamma=90.00
Space group Fm-3m (No. 225)
Symmetry-distinct sites (fractional):
1 Hf 0.000 0.000 0.000 (multiplicity 4)
2 Cr 0.000 0.000 0.500 (multiplicity 4)
3 Te 0.250 0.250 0.250 (multiplicity 8)

Properties
Spin magnetization, μB per atom: 0.745


Least stable = entry P